This record from Alexandria via LeMat-Bulk describes CoMoAs2 after structural relaxation. The functional is PBE-GGA.

```
CoMoAs2
1.0
4.149 0.018 0.033
2.997 2.870 0.033
1.057 0.427 4.988
As Mo Co
2 1 1
direct
0.495 0.495 0.514
0.005 0.005 0.986
0.250 0.250 0.250
0.750 0.750 0.750
```

Output
Size of the total moment ... 0.0005 μB/atom
V ... 59.0 Å³/cell
ΔE_f ... 0.15 eV/atom
SG ... C2/m


This record from Alexandria via LeMat-Bulk describes CoMoAs2 after structural relaxation. The functional is PBE-GGA.

```
CoMoAs2
1.0
7.715 0.002 0.001
7.121 2.969 0.001
7.121 1.426 2.604
Co As Mo
1 2 1
direct
0.250 0.250 0.250
0.995 0.995 0.995
0.505 0.505 0.505
0.750 0.750 0.750
```

Output
Size of the total moment ... 0.2573 μB/atom
V ... 59.6 Å³/cell
ΔE_f ... 0.10 eV/atom
SG ... R-3m


This record from Alexandria via LeMat-Bulk describes CoMoAs2 after structural relaxation. The functional is PBE-GGA.

```
CoMoAs2
1.0
-4.687 3.070 0.016
-0.796 -1.243 5.405
-0.039 5.031 4.055
As Mo Co
4 2 2
direct
0.875 0.847 0.750
0.375 0.403 0.750
0.153 0.625 0.250
0.597 0.125 0.250
0.750 0.250 0.500
0.000 0.000 0.000
0.250 0.750 0.500
0.500 0.500 0.000
```

Output
Size of the total moment ... 0.1179 μB/atom
V ... 160.3 Å³/cell
ΔE_f ... 0.34 eV/atom
SG ... I-42d


This record from Alexandria via LeMat-Bulk describes CoMo3As after structural relaxation. The functional is PBE-GGA.

```
CoMo3As
1.0
-0.863 -3.543 -2.730
-1.956 -2.201 3.475
-4.022 1.830 -1.104
As Mo Co
1 3 1
direct
0.000 0.000 0.000
0.000 0.000 0.500
0.000 0.500 0.000
0.500 0.000 0.000
0.500 0.500 0.500
```

Output
Size of the total moment ... 0.0000 μB/atom
V ... 94.5 Å³/cell
ΔE_f ... 1.54 eV/atom
SG ... Pm-3m


This record from Alexandria via LeMat-Bulk describes CoMoAs2 after structural relaxation. The functional is PBE-GGA.

```
CoMoAs2
1.0
-2.293 -3.041 -2.620
2.394 -1.849 0.050
-1.516 -1.868 3.494
Mo As Co
1 2 1
direct
0.500 0.875 0.741
0.500 0.375 0.264
0.000 0.875 0.984
0.000 0.375 0.511
```

Output
Size of the total moment ... 0.0023 μB/atom
V ... 59.3 Å³/cell
ΔE_f ... -0.01 eV/atom
SG ... Pmm2


This record from Alexandria via LeMat-Bulk describes CoMo4As after structural relaxation. The functional is PBE-GGA.

```
CoMo4As
1.0
0.000 3.667 3.667
3.667 0.000 3.667
3.667 3.667 0.000
As Mo Co
1 4 1
direct
0.750 0.750 0.750
0.374 0.374 0.374
0.374 0.877 0.374
0.877 0.374 0.374
0.374 0.374 0.877
0.000 0.000 0.000
```

Output
Size of the total moment ... 0.2634 μB/atom
V ... 98.6 Å³/cell
ΔE_f ... 0.70 eV/atom
SG ... F-43m


This record from Alexandria via LeMat-Bulk describes CoMoAs2 after structural relaxation. The functional is PBE-GGA.

```
CoMoAs2
1.0
4.686 0.000 0.004
3.596 3.004 0.004
0.948 0.344 4.166
As Mo Co
2 1 1
direct
0.752 0.752 0.676
0.996 0.996 0.068
0.266 0.266 0.175
0.486 0.486 0.582
```

Output
Size of the total moment ... 0.1424 μB/atom
V ... 58.6 Å³/cell
ΔE_f ... -0.02 eV/atom
SG ... Cm


This record from Alexandria via LeMat-Bulk describes CoMo3As after structural relaxation. The functional is PBE-GGA.

```
CoMo3As
1.0
-0.986 -2.799 3.336
1.881 -3.359 -2.261
3.927 0.906 1.921
Mo As Co
3 1 1
direct
0.000 0.000 0.500
0.000 0.500 0.000
0.500 0.000 0.000
0.500 0.500 0.500
0.000 0.000 0.000
```

Output
Size of the total moment ... 0.0000 μB/atom
V ... 89.0 Å³/cell
ΔE_f ... 1.18 eV/atom
SG ... Pm-3m


This record from Alexandria via LeMat-Bulk describes CoMoAs2 after structural relaxation. The functional is PBE-GGA.

```
CoMoAs2
1.0
-1.794 2.681 -0.782
-0.027 -0.946 -3.181
-4.525 -2.776 0.863
Co As Mo
1 2 1
direct
0.000 0.000 0.440
0.500 0.500 0.309
0.000 0.000 0.971
0.500 0.500 0.781
```

Output
Size of the total moment ... 0.2526 μB/atom
V ... 59.2 Å³/cell
ΔE_f ... -0.05 eV/atom
SG ... P4mm


This record from Alexandria via LeMat-Bulk describes CoMo4As2 after structural relaxation. The functional is PBE-GGA.

```
CoMo4As2
1.0
4.370 0.000 0.000
0.000 4.370 0.000
2.185 2.185 6.498
Mo Co As
4 1 2
direct
0.500 0.000 0.000
0.818 0.818 0.365
0.182 0.182 0.635
0.000 0.500 0.000
0.000 0.000 0.000
0.372 0.372 0.256
0.628 0.628 0.744
```

Output
Size of the total moment ... 0.0000 μB/atom
V ... 124.1 Å³/cell
ΔE_f ... 0.87 eV/atom
SG ... I4/mmm


This record from Alexandria via LeMat-Bulk describes Co3MoAs after structural relaxation. The functional is PBE-GGA.

```
Co3MoAs
1.0
-2.646 -1.090 -3.359
3.519 -0.473 -2.619
0.287 -4.250 1.152
Co Mo As
3 1 1
direct
0.500 0.000 0.000
0.000 0.000 0.500
0.000 0.500 0.000
0.000 0.000 0.000
0.500 0.500 0.500
```

Output
Size of the total moment ... 0.1187 μB/atom
V ... 85.9 Å³/cell
ΔE_f ... 1.45 eV/atom
SG ... Pm-3m


This record from Alexandria via LeMat-Bulk describes CoMoAs2 after structural relaxation. The functional is PBE-GGA.

```
CoMoAs2
1.0
2.820 0.000 0.000
0.000 2.820 0.000
0.000 0.000 8.737
Mo Co As
1 1 2
direct
0.500 0.500 0.711
0.000 0.000 0.515
0.500 0.500 0.344
0.000 0.000 0.931
```

Output
Size of the total moment ... 0.1887 μB/atom
V ... 69.5 Å³/cell
ΔE_f ... 0.00 eV/atom
SG ... P4mm